A relaxed Cr2HO crystal. Source: Alexandria, functional PBE+U.

Computed properties:
Space group: No. 225
Calculated volume: 10.96 Å³/atom
Distance to the lowest polymorph of the same formula: 0.435 eV per atom
DFT total energy: -23.12 eV per cell

abc: 3.957 3.957 3.957
angles: 60.00 60.00 60.00
Atoms (fractional coordinates):
Cr (0.250, 0.250, 0.250)
Cr (0.750, 0.750, 0.750)
H (0.000, 0.000, 0.000)
O (0.500, 0.500, 0.500)